# SmGeAsO

A geometry-optimized SmGeAsO structure (GGA-PBE, OQMD).

Structure (extended XYZ):
```
8
Lattice="5.8219 0.0000 0.0000 0.0000 5.8219 0.0000 0.0000 0.0000 4.9092" Properties=species:S:1:pos:R:3 pbc="T T T"
As 1.4555 1.4555 2.4448
As 4.3664 4.3664 2.4644
O 1.4555 4.3664 0.0000
O 4.3664 1.4555 0.0000
Ge 4.3664 4.3664 0.0091
Ge 1.4555 1.4555 4.9001
Sm 4.3664 1.4555 2.4546
Sm 1.4555 4.3664 2.4546
```

Output
volume	20.8	Å³/atom
ΔE to the lowest computed polymorph	497	meV per atom